No. 1
A geometry-optimized Ce7Bi2Os2 structure, computed with PBE.

Cell and atoms, written as CIF:
```
data_Ce7Bi2Os2
_symmetry_space_group_name_H-M 'C 1 2/m 1'
_symmetry_Int_Tables_number 12
_cell_length_a 11.4153
_cell_length_b 8.4660
_cell_length_c 6.7627
_cell_angle_alpha 90.00
_cell_angle_beta 90.15
_cell_angle_gamma 90.00
loop_
_symmetry_equiv_pos_as_xyz
'x,y,z'
'-x,-y,-z'
'-x,y,-z'
'x,-y,z'
'x+1/2,y+1/2,z'
'-x+1/2,-y+1/2,-z'
'-x+1/2,y+1/2,-z'
'x+1/2,-y+1/2,z'
loop_
_atom_site_label
_atom_site_type_symbol
_atom_site_fract_x
_atom_site_fract_y
_atom_site_fract_z
_atom_site_occupancy
Ce1 Ce 0.0000 0.0000 0.0000 1
Ce2 Ce 0.9996 0.5000 0.2013 1
Ce3 Ce 0.2504 0.2493 0.7364 1
Bi1 Bi 0.0000 0.1937 0.5000 1
Os1 Os 0.2356 0.5000 0.9991 1
```

Summary:
- size of the total moment (μB/f.u.) = 5.14
- crystal system = monoclinic
- ΔE_f (meV per atom) = -222
- total DFT energy (no corrections) (eV/atom) = -6.7452


No. 2
A geometry-optimized Ce6BiOs2 structure, computed with PBE.

Cell and atoms, written as CIF:
```
data_Ce6BiOs2
_symmetry_space_group_name_H-M 'C 1 2/m 1'
_symmetry_Int_Tables_number 12
_cell_length_a 10.7622
_cell_length_b 4.6634
_cell_length_c 9.1872
_cell_angle_alpha 90.00
_cell_angle_beta 92.51
_cell_angle_gamma 90.00
loop_
_symmetry_equiv_pos_as_xyz
'x,y,z'
'-x,-y,-z'
'-x,y,-z'
'x,-y,z'
'x+1/2,y+1/2,z'
'-x+1/2,-y+1/2,-z'
'-x+1/2,y+1/2,-z'
'x+1/2,-y+1/2,z'
loop_
_atom_site_label
_atom_site_type_symbol
_atom_site_fract_x
_atom_site_fract_y
_atom_site_fract_z
_atom_site_occupancy
Ce1 Ce 0.0787 0.0000 0.3631 1
Ce2 Ce 0.0949 0.5000 0.6677 1
Ce3 Ce 0.2123 0.5000 0.1079 1
Bi1 Bi 0.0000 0.0000 0.0000 1
Os1 Os 0.2429 0.5000 0.3870 1
```

Summary:
- size of the total moment (μB/f.u.) = 1.39
- crystal system = monoclinic
- ΔE_f (meV per atom) = -305
- total DFT energy (no corrections) (eV/atom) = -7.1874


No. 3
A geometry-optimized Ce4BiOs structure, computed with PBE.

Cell and atoms, written as CIF:
```
data_Ce4BiOs
_symmetry_space_group_name_H-M 'C 1 2/c 1'
_symmetry_Int_Tables_number 15
_cell_length_a 8.1586
_cell_length_b 14.2797
_cell_length_c 5.8823
_cell_angle_alpha 90.00
_cell_angle_beta 110.39
_cell_angle_gamma 90.00
loop_
_symmetry_equiv_pos_as_xyz
'x,y,z'
'-x,-y,-z'
'-x,y,-z+1/2'
'x,-y,z+1/2'
'x+1/2,y+1/2,z'
'-x+1/2,-y+1/2,-z'
'-x+1/2,y+1/2,-z+1/2'
'x+1/2,-y+1/2,z+1/2'
loop_
_atom_site_label
_atom_site_type_symbol
_atom_site_fract_x
_atom_site_fract_y
_atom_site_fract_z
_atom_site_occupancy
Ce1 Ce 0.0848 0.1882 0.0858 1
Ce2 Ce 0.2172 0.4236 0.3456 1
Bi1 Bi 0.0000 0.3770 0.7500 1
Os1 Os 0.0000 0.0157 0.7500 1
```

Summary:
- size of the total moment (μB/f.u.) = 1.17
- crystal system = monoclinic
- ΔE_f (meV per atom) = -319
- total DFT energy (no corrections) (eV/atom) = -6.7938


No. 4
A geometry-optimized Ce3Th3Bi2Os structure, computed with PBE.

Cell and atoms, written as CIF:
```
data_Ce3Th3Bi2Os
_symmetry_space_group_name_H-M 'P -6 2 m'
_symmetry_Int_Tables_number 189
_symmetry_space_group_name_Hall 'P -6 -2'
_cell_length_a 8.7624
_cell_length_b 8.7624
_cell_length_c 3.9797
_cell_angle_alpha 90.00
_cell_angle_beta 90.00
_cell_angle_gamma 120.00
loop_
_atom_site_label
_atom_site_type_symbol
_atom_site_fract_x
_atom_site_fract_y
_atom_site_fract_z
_atom_site_occupancy
Ce1 Ce 0.0000 0.4038 0.0000 1
Th1 Th 0.0000 0.7577 0.5000 1
Bi1 Bi 0.3333 0.6667 0.5000 1
Os1 Os 0.0000 0.0000 0.0000 1
```

Summary:
- size of the total moment (μB/f.u.) = 2.74
- crystal system = hexagonal
- ΔE_f (meV per atom) = -453
- total DFT energy (no corrections) (eV/atom) = -7.0148


No. 5
A geometry-optimized Ce3BiP2 structure, computed with PBE.

Cell and atoms, written as CIF:
```
data_Ce3BiP2
_symmetry_space_group_name_H-M 'C m c m'
_symmetry_Int_Tables_number 63
_symmetry_space_group_name_Hall '-C 2c 2'
_cell_length_a 4.8256
_cell_length_b 13.5073
_cell_length_c 10.0493
_cell_angle_alpha 90.00
_cell_angle_beta 90.00
_cell_angle_gamma 90.00
loop_
_atom_site_label
_atom_site_type_symbol
_atom_site_fract_x
_atom_site_fract_y
_atom_site_fract_z
_atom_site_occupancy
Ce1 Ce 0.0000 0.0949 0.2500 1
Ce2 Ce 0.0000 0.3771 0.0464 1
Bi1 Bi 0.0000 0.2256 0.7500 1
P1 P 0.0000 0.0000 0.0000 1
P2 P 0.0000 0.4873 0.7500 1
```

Summary:
- size of the total moment (μB/f.u.) = 2.98
- crystal system = orthorhombic
- ΔE_f (meV per atom) = -983
- total DFT energy (no corrections) (eV/atom) = -6.3998


No. 6
A geometry-optimized Ce4Bi3P structure, computed with PBE.

Cell and atoms, written as CIF:
```
data_Ce4Bi3P
_symmetry_space_group_name_H-M 'C m m m'
_symmetry_Int_Tables_number 65
_symmetry_space_group_name_Hall '-C 2 2'
_cell_length_a 9.0179
_cell_length_b 12.6570
_cell_length_c 4.4381
_cell_angle_alpha 90.00
_cell_angle_beta 90.00
_cell_angle_gamma 90.00
loop_
_atom_site_label
_atom_site_type_symbol
_atom_site_fract_x
_atom_site_fract_y
_atom_site_fract_z
_atom_site_occupancy
Ce1 Ce 0.0000 0.2371 0.0000 1
Ce2 Ce 0.2261 0.0000 0.5000 1
Bi1 Bi 0.0000 0.5000 0.0000 1
Bi2 Bi 0.2500 0.2500 0.5000 1
P1 P 0.0000 0.0000 0.0000 1
```

Summary:
- size of the total moment (μB/f.u.) = 3.38
- crystal system = orthorhombic
- ΔE_f (meV per atom) = -911
- total DFT energy (no corrections) (eV/atom) = -6.0092


No. 7
A geometry-optimized CeBiP2 structure, computed with PBE.

Cell and atoms, written as CIF:
```
data_CeBiP2
_symmetry_space_group_name_H-M 'R -3 m'
_symmetry_Int_Tables_number 166
_symmetry_space_group_name_Hall '-R 3 2"'
_cell_length_a 4.1324
_cell_length_b 4.1324
_cell_length_c 24.8848
_cell_angle_alpha 90.00
_cell_angle_beta 90.00
_cell_angle_gamma 120.00
loop_
_atom_site_label
_atom_site_type_symbol
_atom_site_fract_x
_atom_site_fract_y
_atom_site_fract_z
_atom_site_occupancy
Ce1 Ce 0.0000 0.0000 0.0000 1
Bi1 Bi 0.0000 0.0000 0.5000 1
P1 P 0.0000 0.0000 0.3916 1
```

Summary:
- size of the total moment (μB/f.u.) = 0.00
- crystal system = trigonal
- ΔE_f (meV per atom) = -251
- total DFT energy (no corrections) (eV/atom) = -5.4096


No. 8
A geometry-optimized Ce5Bi5P structure, computed with PBE.

Cell and atoms, written as CIF:
```
data_Ce5Bi5P
_symmetry_space_group_name_H-M 'C 1 2/m 1'
_symmetry_Int_Tables_number 12
_cell_length_a 14.1813
_cell_length_b 6.3061
_cell_length_c 8.8839
_cell_angle_alpha 90.00
_cell_angle_beta 109.32
_cell_angle_gamma 90.00
loop_
_symmetry_equiv_pos_as_xyz
'x,y,z'
'-x,-y,-z'
'-x,y,-z'
'x,-y,z'
'x+1/2,y+1/2,z'
'-x+1/2,-y+1/2,-z'
'-x+1/2,y+1/2,-z'
'x+1/2,-y+1/2,z'
loop_
_atom_site_label
_atom_site_type_symbol
_atom_site_fract_x
_atom_site_fract_y
_atom_site_fract_z
_atom_site_occupancy
Ce1 Ce 0.0000 0.0000 0.0000 1
Ce2 Ce 0.1575 0.5000 0.3155 1
Ce3 Ce 0.1569 0.5000 0.8467 1
Bi1 Bi 0.0000 0.5000 0.5000 1
Bi2 Bi 0.1564 0.0000 0.8126 1
Bi3 Bi 0.1753 0.0000 0.3369 1
P1 P 0.0000 0.5000 0.0000 1
```

Summary:
- size of the total moment (μB/f.u.) = 2.53
- crystal system = monoclinic
- ΔE_f (meV per atom) = -675
- total DFT energy (no corrections) (eV/atom) = -5.6283


No. 9
A geometry-optimized Ce3BiP3 structure, computed with PBE.

Cell and atoms, written as CIF:
```
data_Ce3BiP3
_symmetry_space_group_name_H-M 'R -3'
_symmetry_Int_Tables_number 148
_symmetry_space_group_name_Hall '-R 3'
_cell_length_a 8.7135
_cell_length_b 8.7135
_cell_length_c 17.4714
_cell_angle_alpha 90.00
_cell_angle_beta 90.00
_cell_angle_gamma 120.00
loop_
_atom_site_label
_atom_site_type_symbol
_atom_site_fract_x
_atom_site_fract_y
_atom_site_fract_z
_atom_site_occupancy
Ce1 Ce 0.0066 0.6591 0.4158 1
Bi1 Bi 0.0000 0.0000 0.1631 1
P1 P 0.0048 0.6933 0.5893 1
```

Summary:
- size of the total moment (μB/f.u.) = 0.25
- crystal system = trigonal
- ΔE_f (meV per atom) = -955
- total DFT energy (no corrections) (eV/atom) = -6.3712


No. 10
A geometry-optimized Ce3Bi2P structure, computed with PBE.

Cell and atoms, written as CIF:
```
data_Ce3Bi2P
_symmetry_space_group_name_H-M 'I 4/m m m'
_symmetry_Int_Tables_number 139
_symmetry_space_group_name_Hall '-I 4 2'
_cell_length_a 4.4504
_cell_length_b 4.4504
_cell_length_c 18.7624
_cell_angle_alpha 90.00
_cell_angle_beta 90.00
_cell_angle_gamma 90.00
loop_
_atom_site_label
_atom_site_type_symbol
_atom_site_fract_x
_atom_site_fract_y
_atom_site_fract_z
_atom_site_occupancy
Ce1 Ce 0.0000 0.0000 0.0000 1
Ce2 Ce 0.0000 0.0000 0.3470 1
Bi1 Bi 0.0000 0.0000 0.1715 1
P1 P 0.0000 0.0000 0.5000 1
```

Summary:
- size of the total moment (μB/f.u.) = 2.53
- crystal system = tetragonal
- ΔE_f (meV per atom) = -935
- total DFT energy (no corrections) (eV/atom) = -6.0976


No. 11
A geometry-optimized Ce3Bi2P structure, computed with PBE.

Cell and atoms, written as CIF:
```
data_Ce3Bi2P
_symmetry_space_group_name_H-M 'C 1 2/c 1'
_symmetry_Int_Tables_number 15
_cell_length_a 7.7637
_cell_length_b 13.2564
_cell_length_c 7.5982
_cell_angle_alpha 90.00
_cell_angle_beta 109.29
_cell_angle_gamma 90.00
loop_
_symmetry_equiv_pos_as_xyz
'x,y,z'
'-x,-y,-z'
'-x,y,-z+1/2'
'x,-y,z+1/2'
'x+1/2,y+1/2,z'
'-x+1/2,-y+1/2,-z'
'-x+1/2,y+1/2,-z+1/2'
'x+1/2,-y+1/2,z+1/2'
loop_
_atom_site_label
_atom_site_type_symbol
_atom_site_fract_x
_atom_site_fract_y
_atom_site_fract_z
_atom_site_occupancy
Ce1 Ce 0.2167 0.0742 0.4953 1
Ce2 Ce 0.2500 0.2500 0.0000 1
Bi1 Bi 0.0000 0.2604 0.2500 1
Bi2 Bi 0.0000 0.4187 0.7500 1
P1 P 0.0000 0.0876 0.7500 1
```

Summary:
- size of the total moment (μB/f.u.) = 2.52
- crystal system = monoclinic
- ΔE_f (meV per atom) = -957
- total DFT energy (no corrections) (eV/atom) = -6.1191


No. 12
A geometry-optimized CePmBiP structure, computed with PBE.

Cell and atoms, written as CIF:
```
data_CePmBiP
_symmetry_space_group_name_H-M 'R 3 m'
_symmetry_Int_Tables_number 160
_symmetry_space_group_name_Hall 'R 3 -2"'
_cell_length_a 4.2864
_cell_length_b 4.2864
_cell_length_c 21.7734
_cell_angle_alpha 90.00
_cell_angle_beta 90.00
_cell_angle_gamma 120.00
loop_
_atom_site_label
_atom_site_type_symbol
_atom_site_fract_x
_atom_site_fract_y
_atom_site_fract_z
_atom_site_occupancy
Ce1 Ce 0.0000 0.0000 0.0000 1
Pm1 Pm 0.0000 0.0000 0.4790 1
Bi1 Bi 0.0000 0.0000 0.2406 1
P1 P 0.0000 0.0000 0.7385 1
```

Summary:
- size of the total moment (μB/f.u.) = 0.67
- crystal system = trigonal
- ΔE_f (meV per atom) = -1167
- total DFT energy (no corrections) (eV/atom) = -6.1613